# 1
# Tb3NdYTh

An optimized crystal structure of Tb3NdYTh (PBE-GGA, the Alexandria database).

Computed properties:
N(E_F) ... 17.90 states/eV/cell
Density ... 7972 kg/m3
Raw total energy ... -5.392 eV per atom
E_form ... 0.03 eV/atom

a = 7.990 Å, b = 5.088 Å, c = 10.187 Å
α = 90.00°, β = 108.63°, γ = 90.00°
Space group P2_1/m (No. 11)
Inequivalent atoms, fractional coordinates:
1 Tb 0.166 0.250 0.044 x2
2 Tb 0.168 0.750 0.790 x2
3 Tb 0.175 0.250 0.542 x2
4 Nd 0.500 0.250 0.871 x2
5 Y 0.172 0.750 0.294 x2
6 Th 0.500 0.250 0.379 x2

***

# 2
# TbNdThZr

An optimized crystal structure of TbNdThZr (PBE-GGA, the Alexandria database).

Computed properties:
N(E_F) ... 22.87 states/eV/cell
Density ... 8736 kg/m3
Raw total energy ... -6.163 eV per atom
E_form ... 0.18 eV/atom

a = 7.810 Å, b = 7.810 Å, c = 7.810 Å
α = 90.00°, β = 90.00°, γ = 90.00°
Space group F-43m (No. 216)
Inequivalent atoms, fractional coordinates:
1 Tb 0.000 0.000 0.000 x4
2 Nd 0.250 0.250 0.250 x4
3 Th 0.250 0.250 0.750 x4
4 Zr 0.000 0.000 0.500 x4

***

# 3
# Tb2NdTi

An optimized crystal structure of Tb2NdTi (PBE-GGA, the Alexandria database).

Computed properties:
N(E_F) ... 6.48 states/eV/cell
Density ... 7383 kg/m3
Raw total energy ... -5.313 eV per atom
E_form ... 0.17 eV/atom
Excess energy over the best structure of this formula in the dataset ... 0.000 eV/atom

a = 3.419 Å, b = 3.419 Å, c = 9.814 Å
α = 90.00°, β = 90.00°, γ = 90.00°
Space group P4/mmm (No. 123)
Inequivalent atoms, fractional coordinates:
1 Tb 0.000 0.000 0.213 x2
2 Nd 0.500 0.500 0.500 x1
3 Ti 0.500 0.500 0.000 x1

***

# 4
# TbNd2Ti

An optimized crystal structure of TbNd2Ti (PBE-GGA, the Alexandria database).

Computed properties:
N(E_F) ... 20.75 states/eV/cell
Density ... 6837 kg/m3
Raw total energy ... -5.060 eV per atom
E_form ... 0.46 eV/atom
Excess energy over the best structure of this formula in the dataset ... 0.219 eV/atom

a = 3.4059 Å, b = 3.4059 Å, c = 35.9195 Å
α = 90.00°, β = 90.00°, γ = 120.00°
Space group R-3m (No. 166, hexagonal axes)
Inequivalent atoms, fractional coordinates:
1 Tb 0.0000 0.0000 0.0000 x3
2 Nd 0.0000 0.0000 0.4174 x6
3 Ti 0.0000 0.0000 0.5000 x3

***

# 5
# Tb2NdTi

An optimized crystal structure of Tb2NdTi (PBE-GGA, the Alexandria database).

Computed properties:
N(E_F) ... 16.16 states/eV/cell
Density ... 7174 kg/m3
Raw total energy ... -5.041 eV per atom
E_form ... 0.44 eV/atom
Excess energy over the best structure of this formula in the dataset ... 0.272 eV/atom

a = 3.3857 Å, b = 3.3857 Å, c = 35.6726 Å
α = 90.00°, β = 90.00°, γ = 120.00°
Space group R-3m (No. 166, hexagonal axes)
Inequivalent atoms, fractional coordinates:
1 Tb 0.0000 0.0000 0.0824 x6
2 Nd 0.0000 0.0000 0.5000 x3
3 Ti 0.0000 0.0000 0.0000 x3

***

# 6
# TbNd2Ti

An optimized crystal structure of TbNd2Ti (PBE-GGA, the Alexandria database).

Computed properties:
N(E_F) ... 6.05 states/eV/cell
Density ... 7053 kg/m3
Raw total energy ... -5.279 eV per atom
E_form ... 0.24 eV/atom
Excess energy over the best structure of this formula in the dataset ... 0.000 eV/atom

a = 3.937 Å, b = 3.937 Å, c = 7.523 Å
α = 90.00°, β = 90.00°, γ = 90.00°
Space group P4/mmm (No. 123)
Inequivalent atoms, fractional coordinates:
1 Tb 0.000 0.000 0.000 x1
2 Nd 0.500 0.500 0.285 x2
3 Ti 0.000 0.000 0.500 x1

***

# 7
# TbNdTi

An optimized crystal structure of TbNdTi (PBE-GGA, the Alexandria database).

Computed properties:
N(E_F) ... 9.87 states/eV/cell
Density ... 6912 kg/m3
Raw total energy ... -5.664 eV per atom
E_form ... 0.10 eV/atom

a = 3.598 Å, b = 3.598 Å, c = 13.030 Å
α = 90.00°, β = 90.00°, γ = 90.00°
Space group P4/nmm (No. 129, origin choice 2)
Inequivalent atoms, fractional coordinates:
1 Tb 0.250 0.250 0.193 x2
2 Nd 0.250 0.250 0.600 x2
3 Ti 0.250 0.250 0.958 x2

***

# 8
# Tb5NdTl3

An optimized crystal structure of Tb5NdTl3 (PBE-GGA, the Alexandria database).

Computed properties:
N(E_F) ... 21.76 states/eV/cell
Density ... 9830 kg/m3
Raw total energy ... -4.154 eV per atom
E_form ... -0.26 eV/atom

a = 9.4525 Å, b = 9.4525 Å, c = 6.7765 Å
α = 90.00°, β = 90.00°, γ = 120.00°
Space group P6_3/mcm (No. 193)
Inequivalent atoms, fractional coordinates:
1 Tb 0.0000 0.3302 0.2500 x6
2 Tb 0.3333 0.6667 0.0000 x4
3 Nd 0.0000 0.0000 0.0000 x2
4 Tl 0.0000 0.3391 0.7500 x6

***

# 9
# Tb6NdTl2

An optimized crystal structure of Tb6NdTl2 (PBE-GGA, the Alexandria database).

Computed properties:
N(E_F) ... 22.28 states/eV/cell
Density ... 7399 kg/m3
Raw total energy ... -3.628 eV per atom
E_form ... 0.51 eV/atom
Excess energy over the best structure of this formula in the dataset ... 0.659 eV/atom

a = 5.643 Å, b = 5.643 Å, c = 21.234 Å
α = 90.00°, β = 90.00°, γ = 90.00°
Space group I-42m (No. 121)
Inequivalent atoms, fractional coordinates:
1 Tb 0.000 0.500 0.250 x4
2 Tb 0.195 0.195 0.067 x8
3 Nd 0.000 0.000 0.500 x2
4 Tl 0.000 0.000 0.190 x4

***

# 10
# Tb4Nd2Tl

An optimized crystal structure of Tb4Nd2Tl (PBE-GGA, the Alexandria database).

Computed properties:
N(E_F) ... 16.50 states/eV/cell
Density ... 8441 kg/m3
Raw total energy ... -4.358 eV per atom
E_form ... -0.01 eV/atom
Excess energy over the best structure of this formula in the dataset ... 0.040 eV/atom

a = 5.819 Å, b = 6.741 Å, c = 11.639 Å
α = 90.00°, β = 103.42°, γ = 90.00°
Space group P2_1/m (No. 11)
Inequivalent atoms, fractional coordinates:
1 Tb 0.098 0.250 0.129 x2
2 Tb 0.285 0.750 0.433 x2
3 Tb 0.342 0.508 0.714 x4
4 Nd 0.162 0.250 0.427 x2
5 Nd 0.473 0.750 0.025 x2
6 Tl 0.042 0.750 0.162 x2

***

# 11
# Tb8NdTl6

An optimized crystal structure of Tb8NdTl6 (PBE-GGA, the Alexandria database).

Computed properties:
N(E_F) ... 63.58 states/eV/cell
Density ... 9219 kg/m3
Raw total energy ... -3.875 eV per atom
E_form ... -0.14 eV/atom

a = 9.1846 Å, b = 9.1846 Å, c = 19.5414 Å
α = 90.00°, β = 90.00°, γ = 120.00°
Space group R-3 (No. 148, hexagonal axes)
Inequivalent atoms, fractional coordinates:
1 Tb 0.0000 0.0000 0.1676 x6
2 Tb 0.0012 0.3317 0.6097 x18
3 Nd 0.0000 0.0000 0.5000 x3
4 Tl 0.0001 0.3389 0.4366 x18

***

# 12
# TbNd6Tl5

An optimized crystal structure of TbNd6Tl5 (PBE-GGA, the Alexandria database).

Computed properties:
N(E_F) ... 25.83 states/eV/cell
Density ... 9372 kg/m3
Raw total energy ... -4.057 eV per atom
E_form ... -0.30 eV/atom

a = 5.114 Å, b = 9.122 Å, c = 15.546 Å
α = 90.00°, β = 90.00°, γ = 90.00°
Space group Immm (No. 71)
Inequivalent atoms, fractional coordinates:
1 Tb 0.000 0.000 0.000 x2
2 Nd 0.000 0.232 0.500 x4
3 Nd 0.000 0.261 0.171 x8
4 Tl 0.000 0.000 0.326 x4
5 Tl 0.000 0.500 0.000 x2
6 Tl 0.000 0.500 0.351 x4

***

# 13
# Tb2Nd7Tl2

An optimized crystal structure of Tb2Nd7Tl2 (PBE-GGA, the Alexandria database).

Computed properties:
N(E_F) ... 32.39 states/eV/cell
Density ... 7613 kg/m3
Raw total energy ... -4.334 eV per atom
E_form ... -0.03 eV/atom

a = 3.709 Å, b = 20.559 Å, c = 9.932 Å
α = 90.00°, β = 90.00°, γ = 90.00°
Space group Imm2 (No. 44)
Inequivalent atoms, fractional coordinates:
1 Tb 0.000 0.000 0.000 x2
2 Tb 0.000 0.500 0.170 x2
3 Nd 0.000 0.000 0.348 x2
4 Nd 0.000 0.129 0.809 x4
5 Nd 0.000 0.339 0.006 x4
6 Nd 0.000 0.366 0.635 x4
7 Tl 0.000 0.244 0.293 x4

***

# 14
# Tb4Nd2Tl

An optimized crystal structure of Tb4Nd2Tl (PBE-GGA, the Alexandria database).

Computed properties:
N(E_F) ... 33.08 states/eV/cell
Density ... 8338 kg/m3
Raw total energy ... -4.398 eV per atom
E_form ... -0.05 eV/atom
Excess energy over the best structure of this formula in the dataset ... 0.000 eV/atom

a = 20.484 Å, b = 3.576 Å, c = 12.273 Å
α = 90.00°, β = 90.00°, γ = 90.00°
Space group Pnma (No. 62)
Inequivalent atoms, fractional coordinates:
1 Tb 0.002 0.250 0.123 x4
2 Tb 0.096 0.250 0.684 x4
3 Tb 0.196 0.750 0.496 x4
4 Tb 0.239 0.750 0.769 x4
5 Nd 0.052 0.250 0.402 x4
6 Nd 0.141 0.250 0.969 x4
7 Tl 0.133 0.750 0.209 x4

***

# 15
# TbNdTl

An optimized crystal structure of TbNdTl (PBE-GGA, the Alexandria database).

Computed properties:
N(E_F) ... 1.80 states/eV/cell
Density ... 9074 kg/m3
Raw total energy ... -4.086 eV per atom
E_form ... -0.16 eV/atom
Excess energy over the best structure of this formula in the dataset ... 0.100 eV/atom

a = 5.3280 Å, b = 5.3280 Å, c = 3.7782 Å
α = 90.00°, β = 90.00°, γ = 120.00°
Space group P3m1 (No. 156)
Inequivalent atoms, fractional coordinates:
1 Tb 0.0000 0.0000 0.0000 x1
2 Nd 0.6667 0.3333 0.5349 x1
3 Tl 0.3333 0.6667 0.1416 x1

***

# 16
# Tb3Nd4Tl2

An optimized crystal structure of Tb3Nd4Tl2 (PBE-GGA, the Alexandria database).

Computed properties:
N(E_F) ... 48.58 states/eV/cell
Density ... 8260 kg/m3
Raw total energy ... -4.280 eV per atom
E_form ... -0.09 eV/atom

a = 13.028 Å, b = 13.807 Å, c = 6.566 Å
α = 90.00°, β = 95.30°, γ = 90.00°
Space group C2/c (No. 15)
Inequivalent atoms, fractional coordinates:
1 Tb 0.000 0.031 0.250 x4
2 Tb 0.112 0.437 0.603 x8
3 Nd 0.106 0.289 0.085 x8
4 Nd 0.148 0.174 0.590 x8
5 Tl 0.204 0.069 0.047 x8

***

# 17
# Tb3Nd8Tl

An optimized crystal structure of Tb3Nd8Tl (PBE-GGA, the Alexandria database).

Computed properties:
N(E_F) ... 35.33 states/eV/cell
Density ... 6852 kg/m3
Raw total energy ... -4.082 eV per atom
E_form ... 0.45 eV/atom

a = 8.743 Å, b = 8.743 Å, c = 11.634 Å
α = 90.00°, β = 90.00°, γ = 90.00°
Space group I-42m (No. 121)
Inequivalent atoms, fractional coordinates:
1 Tb 0.000 0.000 0.000 x2
2 Tb 0.000 0.500 0.250 x4
3 Nd 0.128 0.128 0.754 x8
4 Nd 0.245 0.245 0.020 x8
5 Tl 0.000 0.000 0.500 x2

***

# 18
# Tb3Nd2Tl6

An optimized crystal structure of Tb3Nd2Tl6 (PBE-GGA, the Alexandria database).

Computed properties:
N(E_F) ... 27.19 states/eV/cell
Density ... 8155 kg/m3
Raw total energy ... -3.288 eV per atom
E_form ... 0.13 eV/atom

a = 5.982 Å, b = 5.982 Å, c = 22.663 Å
α = 90.00°, β = 90.00°, γ = 90.00°
Space group I4/mmm (No. 139)
Inequivalent atoms, fractional coordinates:
1 Tb 0.000 0.000 0.000 x2
2 Tb 0.000 0.000 0.140 x4
3 Nd 0.000 0.000 0.419 x4
4 Tl 0.000 0.000 0.278 x4
5 Tl 0.000 0.500 0.070 x8

***

# 19
# Tb3Nd3Tl5

An optimized crystal structure of Tb3Nd3Tl5 (PBE-GGA, the Alexandria database).

Computed properties:
N(E_F) ... 9.16 states/eV/cell
Density ... 7254 kg/m3
Raw total energy ... -3.189 eV per atom
E_form ... 0.45 eV/atom

a = 9.0978 Å, b = 9.0978 Å, c = 6.1679 Å
α = 90.00°, β = 90.00°, γ = 120.00°
Space group P-62m (No. 189)
Inequivalent atoms, fractional coordinates:
1 Tb 0.0000 0.2400 0.0000 x3
2 Nd 0.0000 0.2489 0.5000 x3
3 Tl 0.0000 0.6189 0.0000 x3
4 Tl 0.3333 0.6667 0.0000 x2

***

# 20
# Tb6NdTl2

An optimized crystal structure of Tb6NdTl2 (PBE-GGA, the Alexandria database).

Computed properties:
N(E_F) ... 24.43 states/eV/cell
Density ... 8970 kg/m3
Raw total energy ... -4.287 eV per atom
E_form ... -0.14 eV/atom
Excess energy over the best structure of this formula in the dataset ... 0.000 eV/atom

a = 12.906 Å, b = 3.779 Å, c = 12.023 Å
α = 90.00°, β = 107.93°, γ = 90.00°
Space group C2/m (No. 12)
Inequivalent atoms, fractional coordinates:
1 Tb 0.011 0.000 0.346 x4
2 Tb 0.188 0.500 0.874 x4
3 Tb 0.190 0.500 0.583 x4
4 Nd 0.000 0.000 0.000 x2
5 Tl 0.141 0.500 0.215 x4

***

# 21
# Tb3NdTl

An optimized crystal structure of Tb3NdTl (PBE-GGA, the Alexandria database).

Computed properties:
N(E_F) ... 28.71 states/eV/cell
Density ... 9012 kg/m3
Raw total energy ... -4.326 eV per atom
E_form ... -0.12 eV/atom
Excess energy over the best structure of this formula in the dataset ... 0.000 eV/atom

a = 4.894 Å, b = 25.589 Å, c = 4.858 Å
α = 90.00°, β = 90.00°, γ = 90.00°
Space group Cmcm (No. 63)
Inequivalent atoms, fractional coordinates:
1 Tb 0.000 0.047 0.250 x4
2 Tb 0.000 0.250 0.250 x4
3 Tb 0.000 0.449 0.250 x4
4 Nd 0.000 0.148 0.750 x4
5 Tl 0.000 0.346 0.750 x4